Here is a geometry-optimized NiSb2Te structure from the Alexandria database. Energies are from PBE-GGA.

Computed properties:
energy relative to the elements, uncorrected: 8.9 kJ/mol of atoms
size of the total moment: 0.0 Bohr magnetons per cell
energy: -4.199 eV per atom
calculated density: 7.53 g/cm3

abc: 3.2020 4.9959 11.8437
angles: 90.00 90.00 90.00
Element x y z (fractional)
Ni 0.0000 0.0000 0.0000
Ni 0.5000 0.5000 0.5000
Sb 0.0000 0.5000 0.3212
Sb 0.0000 0.5000 0.6788
Sb 0.5000 0.0000 0.1788
Sb 0.5000 0.0000 0.8212
Te 0.0000 0.0000 0.5000
Te 0.5000 0.5000 0.0000

=====

Here is a geometry-optimized PrTm5Ag6 structure from the Alexandria database. Energies are from PBE-GGA.

Computed properties:
size of the total moment: 0.0 Bohr magnetons per cell
energy: -4.006 eV per atom
energy of formation: -3.8 eV per formula unit
calculated density: 9.50 g/cm3

abc: 5.1385 7.1858 8.1399
angles: 90.00 108.31 90.00
Element x y z (fractional)
Pr 0.0000 0.0000 0.0000
Tm 0.0000 0.5000 0.0000
Tm 0.3317 0.0000 0.6634
Tm 0.3347 0.5000 0.6695
Tm 0.6653 0.5000 0.3305
Tm 0.6683 0.0000 0.3366
Ag 0.1721 0.2564 0.3438
Ag 0.1721 0.7436 0.3438
Ag 0.5000 0.2651 0.0000
Ag 0.5000 0.7349 0.0000
Ag 0.8279 0.2564 0.6562
Ag 0.8279 0.7436 0.6562

=====

Here is a geometry-optimized La2CdW structure from the Alexandria database. Energies are from PBE-GGA.

Computed properties:
size of the total moment: 0.0 Bohr magnetons per cell
energy: -5.540 eV per atom
energy of formation: 1.6 eV per formula unit
calculated density: 9.15 g/cm3

abc: 11.9807 3.1266 5.7320
angles: 90.00 103.95 90.00
Element x y z (fractional)
La 0.0000 0.0000 0.0000
La 0.1912 0.0000 0.6345
La 0.5000 0.5000 0.0000
La 0.6912 0.5000 0.6345
Cd 0.2618 0.5000 0.1734
Cd 0.7618 0.0000 0.1734
W 0.4421 0.0000 0.4926
W 0.9421 0.5000 0.4926

=====

Here is a geometry-optimized AgW2 structure from the Alexandria database. Energies are from PBE-GGA.

Computed properties:
size of the total moment: 0.0 Bohr magnetons per cell
energy: -8.953 eV per atom
energy of formation: 1.9 eV per formula unit
calculated density: 15.88 g/cm3

abc: 5.7267 4.0742 8.5256
angles: 90.00 90.00 90.00
Element x y z (fractional)
Ag 0.1236 0.2500 0.0744
Ag 0.3764 0.7500 0.5744
Ag 0.6236 0.2500 0.4256
Ag 0.8764 0.7500 0.9256
W 0.1024 0.2500 0.7281
W 0.1266 0.2500 0.4035
W 0.3734 0.7500 0.9035
W 0.3976 0.7500 0.2281
W 0.6024 0.2500 0.7719
W 0.6266 0.2500 0.0965
W 0.8734 0.7500 0.5965
W 0.8976 0.7500 0.2719

=====

Here is a geometry-optimized PuSc8 structure from the Alexandria database. Energies are from PBE-GGA.

Computed properties:
size of the total moment: 5.9 Bohr magnetons per cell
energy: -7.168 eV per atom
energy of formation: 0.5 eV per formula unit
calculated density: 4.58 g/cm3

abc: 7.2656 7.2656 7.2656
angles: 95.79 95.79 142.97
Element x y z (fractional)
Pu 0.0000 0.0000 0.0000
Sc 0.0000 0.3318 0.3318
Sc 0.0000 0.6682 0.6682
Sc 0.3318 0.0000 0.3318
Sc 0.3348 0.3348 0.6697
Sc 0.3348 0.6652 0.0000
Sc 0.6652 0.3348 0.0000
Sc 0.6652 0.6652 0.3303
Sc 0.6682 0.0000 0.6682

=====

Here is a geometry-optimized YCo3Br structure from the Alexandria database. Energies are from PBE-GGA.

Computed properties:
energy relative to the elements, uncorrected: 162.8 kJ/mol of atoms
size of the total moment: 3.3 Bohr magnetons per cell
energy: -4.204 eV per atom
calculated density: 4.91 g/cm3

abc: 4.8902 4.8902 4.8902
angles: 90.00 90.00 90.00
Element x y z (fractional)
Y 0.0000 0.0000 0.0000
Co 0.0000 0.0000 0.5000
Co 0.0000 0.5000 0.0000
Co 0.5000 0.0000 0.0000
Br 0.5000 0.5000 0.5000

=====

Here is a geometry-optimized Pr4Nd2Sm2Y structure from the Alexandria database. Energies are from PBE-GGA.

Computed properties:
size of the total moment: 0.0 Bohr magnetons per cell
energy: -4.938 eV per atom
energy of formation: 0.1 eV per formula unit
calculated density: 6.51 g/cm3

abc: 9.7774 9.7774 9.8761
angles: 115.06 115.06 21.85
Element x y z (fractional)
Pr 0.0178 0.0178 0.3321
Pr 0.3148 0.3148 0.6687
Pr 0.6852 0.6852 0.3313
Pr 0.9822 0.9822 0.6679
Nd 0.1660 0.1660 0.9987
Nd 0.8340 0.8340 0.0013
Sm 0.3514 0.3514 0.3305
Sm 0.6486 0.6486 0.6695
Y 0.5000 0.5000 0.0000

=====

Here is a geometry-optimized Rb2AcAlTe4 structure from the Alexandria database. Energies are from PBE-GGA.

Computed properties:
energy relative to the elements, uncorrected: -90.3 kJ/mol of atoms
size of the total moment: 0.0 Bohr magnetons per cell
energy: -3.730 eV per atom
calculated density: 5.03 g/cm3

abc: 9.5896 9.5896 9.5896
angles: 123.54 117.09 89.54
Element x y z (fractional)
Rb 0.0000 0.0000 0.0000
Rb 0.5000 0.0000 0.0000
Rb 0.5000 0.0000 0.5000
Rb 0.5000 0.5000 0.5000
Ac 0.0000 0.5000 0.5000
Ac 0.5000 0.5000 0.0000
Al 0.0000 0.0000 0.5000
Al 0.0000 0.5000 0.0000
Te 0.1857 0.7447 0.4409
Te 0.1962 0.2553 0.9409
Te 0.2217 0.2351 0.5134
Te 0.2217 0.7083 0.9866
Te 0.7783 0.2917 0.0134
Te 0.7783 0.7649 0.4866
Te 0.8038 0.7447 0.0591
Te 0.8143 0.2553 0.5591